1.
# Cs3HgPt2 | Alexandria via LeMat-Bulk | PBE | optimized geometry
# E_form ... -0.38 eV per formula unit
# VASP energy ... -2.55 eV/atom
data_Cs3HgPt2
_chemical_formula_sum 'Cs12 Hg4 Pt8'
_symmetry_space_group_name_H-M 'P 1 21/c 1'
_symmetry_Int_Tables_number 14
_cell_length_a 8.826
_cell_length_b 10.086
_cell_length_c 11.250
_cell_angle_alpha 90.00
_cell_angle_beta 108.70
_cell_angle_gamma 90.00
loop_
_symmetry_equiv_pos_as_xyz
'x,y,z'
'-x,-y,-z'
'-x,y+1/2,-z+1/2'
'x,-y+1/2,z+1/2'
loop_
_atom_site_label
_atom_site_fract_x
_atom_site_fract_y
_atom_site_fract_z
Cs1 0.188 0.249 0.171
Cs2 0.231 0.533 0.932
Cs3 0.232 0.533 0.432
Hg1 0.380 0.750 0.220
Pt1 0.049 0.750 0.139
Pt2 0.500 0.000 0.250


2.
# Er5GaPb4 | Alexandria via LeMat-Bulk | PBE | optimized geometry
# E_form ... -2.59 eV per formula unit
# VASP energy ... -4.33 eV/atom
data_Er5GaPb4
_chemical_formula_sum 'Er10 Ga2 Pb8'
_symmetry_space_group_name_H-M 'I 4'
_symmetry_Int_Tables_number 79
_cell_length_a 9.765
_cell_length_b 9.765
_cell_length_c 6.187
_cell_angle_alpha 90.00
_cell_angle_beta 90.00
_cell_angle_gamma 90.00
loop_
_symmetry_equiv_pos_as_xyz
'x,y,z'
'-y,x,z'
'-x,-y,z'
'y,-x,z'
'x+1/2,y+1/2,z+1/2'
'-y+1/2,x+1/2,z+1/2'
'-x+1/2,-y+1/2,z+1/2'
'y+1/2,-x+1/2,z+1/2'
loop_
_atom_site_label
_atom_site_fract_x
_atom_site_fract_y
_atom_site_fract_z
Er1 0.000 0.000 0.000
Er2 0.104 0.282 0.514
Ga1 0.000 0.000 0.499
Pb1 0.087 0.309 0.015


3.
# AsPtPb2Se | Alexandria via LeMat-Bulk | PBE | optimized geometry
# Formation energy (no corrections) ... 750 meV/atom
# VASP energy ... -3.57 eV/atom
data_AsPtPb2Se
_chemical_formula_sum 'As1 Pt1 Pb2 Se1'
_symmetry_space_group_name_H-M 'P 4/m m m'
_symmetry_Int_Tables_number 123
_symmetry_space_group_name_Hall '-P 4 2'
_cell_length_a 5.607
_cell_length_b 5.607
_cell_length_c 4.889
_cell_angle_alpha 90.00
_cell_angle_beta 90.00
_cell_angle_gamma 90.00
loop_
_atom_site_label
_atom_site_fract_x
_atom_site_fract_y
_atom_site_fract_z
As1 0.000 0.000 0.000
Pt1 0.500 0.500 0.000
Pb1 0.000 0.500 0.500
Se1 0.000 0.000 0.500


| no. | spin magnetization (Bohr magnetons per cell) |
| --- | --- |
| 1 | 0.0 |
| 2 | 0.0 |
| 3 | 0.0 |